# KScMnH2 | the Alexandria database | PBE-GGA | optimized geometry
data_KScMnH2
_cell_length_a 4.1638
_cell_length_b 4.1638
_cell_length_c 7.0288
_cell_angle_alpha 90.00
_cell_angle_beta 90.00
_cell_angle_gamma 90.00
_symmetry_space_group_name_H-M 'P 4/m m m'
_symmetry_Int_Tables_number 123
_symmetry_space_group_name_Hall '-P 4 2'
loop_
_atom_site_label
_atom_site_fract_x
_atom_site_fract_y
_atom_site_fract_z
_atom_site_occupancy
K1 0.0000 0.0000 0.0000 1
Sc1 0.0000 0.0000 0.5000 1
Mn1 0.5000 0.5000 0.0000 1
H1 0.0000 0.5000 0.5000 1
# crystal system	tetragonal
# calculated total energy	-3.798	eV per atom

# Sc5In2Si2 | the Alexandria database | PBE-GGA | optimized geometry
data_Sc5In2Si2
_cell_length_a 15.0707
_cell_length_b 7.1505
_cell_length_c 7.1326
_cell_angle_alpha 90.00
_cell_angle_beta 90.00
_cell_angle_gamma 90.00
_symmetry_space_group_name_H-M 'C m c e'
_symmetry_Int_Tables_number 64
_symmetry_space_group_name_Hall '-C 2ac 2'
loop_
_atom_site_label
_atom_site_fract_x
_atom_site_fract_y
_atom_site_fract_z
_atom_site_occupancy
Sc1 0.0000 0.0000 0.0000 1
Sc2 0.1205 0.1819 0.3205 1
In1 0.2237 0.0000 0.0000 1
Si1 0.0000 0.1222 0.6234 1
# E_form (uncorrected)	-0.59	eV/atom
# crystal system	orthorhombic

# CsAl3F | the Alexandria database | PBE-GGA | optimized geometry
data_CsAl3F
_cell_length_a 6.6436
_cell_length_b 6.6436
_cell_length_c 6.6436
_cell_angle_alpha 90.00
_cell_angle_beta 90.00
_cell_angle_gamma 90.00
_symmetry_space_group_name_H-M 'P m -3 m'
_symmetry_Int_Tables_number 221
_symmetry_space_group_name_Hall '-P 4 2 3'
loop_
_atom_site_label
_atom_site_fract_x
_atom_site_fract_y
_atom_site_fract_z
_atom_site_occupancy
Cs1 0.0000 0.0000 0.0000 1
Al1 0.0000 0.0000 0.5000 1
F1 0.5000 0.5000 0.5000 1
# distance to the lowest polymorph of the same formula	1213.7	meV/atom
# E_form (uncorrected)	1.32	eV/atom
# crystal system	cubic

| no. | theoretical density (Mg/m³) | M_tot (μB per atom) |
| --- | --- | --- |
| 1 | 1.92 | 0.610 |
| 2 | 4.41 | 0.000 |
| 3 | 1.32 | 0.000 |